# CeErRh2

A geometry-optimized CeErRh2 structure (PBE, the Alexandria database).

crystal system	orthorhombic
SG	Amm2
spin magnetization	0.00	μB per formula unit
formation energy from the elements	-0.84	eV/atom
total DFT energy (no corrections)	-7.137	eV per atom

Structure (POSCAR):
```
CeErRh2
1.0
3.522 0.000 -1.285
0.000 4.286 0.000
0.033 0.000 5.579
Ce Er Rh
1 1 2
Direct
0.727 0.000 0.992
0.446 0.500 0.432
0.173 0.500 0.885
0.985 0.000 0.510
```

# LiSmDyZn

A geometry-optimized LiSmDyZn structure (PBE, the Alexandria database).

crystal system	cubic
SG	F-43m
spin magnetization	0.00	μB per formula unit
formation energy from the elements	-0.11	eV/atom
total DFT energy (no corrections)	-3.240	eV per atom

Structure (POSCAR):
```
LiSmDyZn
1.0
-0.960 -4.972 0.957
0.494 -3.490 -3.760
3.876 -3.394 0.128
Sm Li Dy Zn
1 1 1 1
Direct
0.250 0.250 0.250
0.500 0.500 0.500
0.750 0.750 0.750
0.000 0.000 0.000
```

# Si2HgB

A geometry-optimized Si2HgB structure (PBE, the Alexandria database).

crystal system	tetragonal
formation energy without anion corrections	0.423	eV/atom
SG	I-42d
spin magnetization	0.00	μB per formula unit
total DFT energy (no corrections)	-4.033	eV per atom

Structure (POSCAR):
```
Si2HgB
1.0
-2.449 0.355 4.968
-1.957 -5.159 -0.596
1.662 -4.102 4.213
Si B Hg
4 2 2
Direct
0.219 0.625 0.250
0.375 0.469 0.750
0.875 0.781 0.750
0.531 0.125 0.250
0.500 0.500 0.000
0.250 0.750 0.500
0.750 0.250 0.500
0.000 0.000 0.000
```

# HfSnPd5

A geometry-optimized HfSnPd5 structure (PBE, the Alexandria database).

crystal system	tetragonal
SG	P4/mmm
spin magnetization	0.00	μB per formula unit
formation energy from the elements	-0.45	eV/atom
total DFT energy (no corrections)	-6.157	eV per atom

Structure (POSCAR):
```
HfSnPd5
1.0
-3.832 -2.554 -0.837
1.569 -3.308 2.916
-2.709 2.614 4.423
Pd Sn Hf
5 1 1
Direct
0.500 0.000 0.243
0.500 0.500 0.500
0.500 0.000 0.757
0.000 0.500 0.757
0.000 0.500 0.243
0.000 0.000 0.500
0.500 0.500 0.000
```

# GaI2N

A geometry-optimized GaI2N structure (PBE, the Alexandria database).

crystal system	tetragonal
formation energy without anion corrections	0.794	eV/atom
SG	I-42d
spin magnetization	0.00	μB per formula unit
total DFT energy (no corrections)	-2.819	eV per atom

Structure (POSCAR):
```
GaI2N
1.0
7.280 0.000 0.000
0.000 7.280 0.000
3.640 3.640 5.185
N I Ga
2 4 2
Direct
0.500 0.500 0.000
0.250 0.750 0.500
0.875 0.626 0.750
0.376 0.125 0.250
0.374 0.625 0.250
0.375 0.624 0.750
0.000 0.000 0.000
0.750 0.250 0.500
```

# KNi2Ru

A geometry-optimized KNi2Ru structure (PBE, the Alexandria database).

crystal system	tetragonal
SG	I-4m2
spin magnetization	2.75	μB per formula unit
formation energy from the elements	1.25	eV/atom
total DFT energy (no corrections)	-4.230	eV per atom

Structure (POSCAR):
```
KNi2Ru
1.0
-0.179 0.040 5.063
2.848 -3.561 2.209
0.794 3.502 -3.575
Ru Ni K
1 2 1
Direct
0.500 0.500 0.000
0.250 0.750 0.500
0.000 0.000 0.000
0.750 0.250 0.500
```

# CuAs2Ir

A geometry-optimized CuAs2Ir structure (PBE, the Alexandria database).

crystal system	tetragonal
SG	P4/mmm
spin magnetization	0.00	μB per formula unit
formation energy from the elements	0.17	eV/atom
total DFT energy (no corrections)	-5.390	eV per atom

Structure (POSCAR):
```
CuAs2Ir
1.0
2.999 0.000 0.000
0.000 2.999 0.000
0.000 0.000 6.947
As Cu Ir
2 1 1
Direct
0.000 0.000 0.994
0.000 0.000 0.506
0.500 0.500 0.250
0.500 0.500 0.750
```

# CaAu3I

A geometry-optimized CaAu3I structure (PBE, the Alexandria database).

crystal system	cubic
formation energy without anion corrections	0.528	eV/atom
SG	Pm-3m
spin magnetization	0.00	μB per formula unit
total DFT energy (no corrections)	-2.148	eV per atom

Structure (POSCAR):
```
CaAu3I
1.0
-1.371 -5.234 -0.939
4.704 -0.742 -2.734
2.479 -1.487 4.669
Au I Ca
3 1 1
Direct
0.000 0.500 0.000
0.500 0.000 0.000
0.000 0.000 0.500
0.500 0.500 0.500
0.000 0.000 0.000
```